This record from the Alexandria database describes SmHoAl after structural relaxation. The functional is PBE-GGA.

Computed properties:
DOS(E_F) = 9.7 states/eV/cell
E = -4.37 eV per atom
Calculated volume = 83.76 Å³/f.u.
Offset from the most stable computed form = 213 meV/atom
Mass density = 6.79 g/cm³
ΔE_f = -0.022 eV/atom

Cell: 3.4923 3.4923 23.7846 Å, 90.00 90.00 120.00°
Space group R3m (No. 160, hexagonal axes)
One atom of each set of equivalent atoms:
Sm: 0.0000 0.0000 0.0000 [3 per cell]
Ho: 0.0000 0.0000 0.7929 [3 per cell]
Al: 0.0000 0.0000 0.2265 [3 per cell]